No. 1
Material: YCu3Si3
Method: DFT, PBE
State: relaxed

```
YCu3Si3
1.0
6.388 0.000 0.000
0.000 6.388 0.000
0.000 0.000 6.388
Y Cu Si
2 6 6
Direct
0.000 0.000 0.000
0.500 0.500 0.500
0.000 0.250 0.500
0.000 0.750 0.500
0.250 0.500 0.000
0.500 0.000 0.250
0.500 0.000 0.750
0.750 0.500 0.000
0.000 0.500 0.250
0.000 0.500 0.750
0.250 0.000 0.500
0.500 0.250 0.000
0.500 0.750 0.000
0.750 0.000 0.500
```

Calculated values
Uncorrected formation energy   0.84 eV per formula unit
DFT total energy   -4.88 eV/atom
Space group   Pm-3n
Crystal system   cubic
Magnetization   0.00 μB/f.u.

---

No. 2
Material: ErTlZnAg
Method: DFT, PBE
State: relaxed

```
ErTlZnAg
1.0
0.000 3.501 3.501
3.501 0.000 3.501
3.501 3.501 0.000
Er Tl Zn Ag
1 1 1 1
Direct
0.000 0.000 0.000
0.500 0.500 0.500
0.750 0.750 0.750
0.250 0.250 0.250
```

Calculated values
DFT total energy   -2.94 eV/atom
Space group   F-43m
Energy of formation   -3.991 kcal/mol of atoms
Crystal system   cubic
Magnetization   0.00 μB/f.u.

---

No. 3
Material: Al5V6Cu
Method: DFT, PBE
State: relaxed

```
Al5V6Cu
1.0
-1.921 4.113 5.292
1.921 -4.113 5.292
1.921 4.113 -5.292
Al V Cu
5 6 1
Direct
0.000 0.000 0.000
0.173 0.673 0.500
0.349 0.349 0.000
0.651 0.651 0.000
0.827 0.327 0.500
0.078 0.832 0.246
0.239 0.500 0.739
0.414 0.168 0.246
0.586 0.832 0.754
0.761 0.500 0.261
0.922 0.168 0.754
0.500 0.000 0.500
```

Calculated values
DFT total energy   -6.67 eV/atom
Space group   Immm
Energy of formation   -4.823 kcal/mol of atoms
Crystal system   orthorhombic
Magnetization   0.00 μB/f.u.

---

No. 4
Material: CsHg2Br2
Method: DFT, PBE
State: relaxed

```
CsHg2Br2
1.0
-2.970 2.970 5.294
2.970 -2.970 5.294
2.970 2.970 -5.294
Cs Hg Br
1 2 2
Direct
0.000 0.000 0.000
0.366 0.366 0.000
0.634 0.634 0.000
0.250 0.750 0.500
0.750 0.250 0.500
```

Calculated values
Uncorrected formation energy   -3.73 eV per formula unit
DFT total energy   -1.71 eV/atom
Space group   I4/mmm
Crystal system   tetragonal
Magnetization   0.00 μB/f.u.
Distance to the lowest polymorph of the same formula   0.0 kJ/mol of atoms

---

No. 5
Material: YRe3N8
Method: DFT, PBE
State: relaxed

```
YRe3N8
1.0
5.743 0.000 0.000
-2.872 4.974 0.000
0.000 0.000 6.277
Y Re N
1 3 8
Direct
0.000 0.000 0.000
0.000 0.000 0.500
0.333 0.667 0.780
0.667 0.333 0.220
0.156 0.312 0.692
0.156 0.844 0.692
0.312 0.156 0.308
0.333 0.667 0.058
0.667 0.333 0.942
0.688 0.844 0.692
0.844 0.156 0.308
0.844 0.688 0.308
```

Calculated values
Uncorrected formation energy   0.57 eV per formula unit
DFT total energy   -9.15 eV/atom
Space group   P-3m1
Crystal system   trigonal
Magnetization   0.00 μB/f.u.